This record from the Alexandria database describes an optimized crystal structure of KP2Ir. The functional is PBE-GGA.

## Properties
* formation enthalpy at 0 K: 450 meV per atom
* energy relative to the lowest polymorph listed for this composition: 0.824 eV/atom

Cell lengths 6.432, 6.432, 6.432 Å; angles 90.00, 90.00, 90.00 degrees
Space group Fm-3m (No. 225)
Inequivalent atoms, fractional coordinates:
K  0.000  0.000  0.000 (multiplicity 4)
P  0.250  0.250  0.250 (multiplicity 8)
Ir  0.000  0.000  0.500 (multiplicity 4)